(1)
Here is a relaxed structure of CaYTc from the Alexandria database. Energies are from PBE.

Calculated values
* calculated volume: 23.770 Å³ per atom
* total energy: -5.85 eV/atom
* excess energy over the best structure of this formula in the dataset: 13.83 kJ/mol of atoms
* M_tot: 0.2 μB per formula unit

a b c (Å): 4.9076 4.9076 3.4189
angles (deg): 90.00 90.00 120.00
Space group P-6m2 (No. 187)
One atom of each set of equivalent atoms:
Ca 0.0000 0.0000 0.0000 [1 per cell]
Y 0.3333 0.6667 0.5000 [1 per cell]
Tc 0.6667 0.3333 0.5000 [1 per cell]

=====

(2)
Here is a relaxed structure of Ca2YTc from the Alexandria database. Energies are from PBE.

Calculated values
* calculated volume: 27.812 Å³ per atom
* total energy: -4.62 eV/atom
* excess energy over the best structure of this formula in the dataset: 35.70 kJ/mol of atoms
* M_tot: 1.3 μB per formula unit

a b c (Å): 3.4000 3.4000 33.3369
angles (deg): 90.00 90.00 120.00
Space group R-3m (No. 166, hexagonal axes)
One atom of each set of equivalent atoms:
Ca 0.0000 0.0000 0.2337 [6 per cell]
Y 0.0000 0.0000 0.0000 [3 per cell]
Tc 0.0000 0.0000 0.5000 [3 per cell]

=====

(3)
Here is a relaxed structure of Ca2YTc from the Alexandria database. Energies are from PBE.

Calculated values
* calculated volume: 29.250 Å³ per atom
* total energy: -4.87 eV/atom
* excess energy over the best structure of this formula in the dataset: 11.41 kJ/mol of atoms
* M_tot: 0.3 μB per formula unit

a b c (Å): 3.5232 5.8007 11.4498
angles (deg): 90.00 90.00 90.00
Space group Imm2 (No. 44)
One atom of each set of equivalent atoms:
Ca 0.0000 0.0000 0.0000 [2 per cell]
Ca 0.0000 0.5000 0.1943 [2 per cell]
Y 0.0000 0.0000 0.3837 [2 per cell]
Tc 0.0000 0.5000 0.7065 [2 per cell]

=====

(4)
Here is a relaxed structure of CaYTc2 from the Alexandria database. Energies are from PBE.

Calculated values
* calculated volume: 20.946 Å³ per atom
* total energy: -6.66 eV/atom
* excess energy over the best structure of this formula in the dataset: 49.06 kJ/mol of atoms
* M_tot: 2.8 μB per formula unit

a b c (Å): 6.9461 6.9461 6.9461
angles (deg): 90.00 90.00 90.00
Space group Fm-3m (No. 225)
One atom of each set of equivalent atoms:
Ca 0.0000 0.0000 0.0000 [4 per cell]
Y 0.0000 0.0000 0.5000 [4 per cell]
Tc 0.2500 0.2500 0.2500 [8 per cell]

=====

(5)
Here is a relaxed structure of CaYTc2 from the Alexandria database. Energies are from PBE.

Calculated values
* calculated volume: 19.878 Å³ per atom
* total energy: -6.68 eV/atom
* excess energy over the best structure of this formula in the dataset: 46.85 kJ/mol of atoms
* M_tot: 0.3 μB per formula unit

a b c (Å): 3.5361 4.6675 4.8175
angles (deg): 90.00 90.00 90.00
Space group Pmmm (No. 47)
One atom of each set of equivalent atoms:
Ca 0.0000 0.0000 0.0000 [1 per cell]
Y 0.5000 0.0000 0.5000 [1 per cell]
Tc 0.0000 0.5000 0.5000 [1 per cell]
Tc 0.5000 0.5000 0.0000 [1 per cell]

=====

(6)
Here is a relaxed structure of Ca2YTc from the Alexandria database. Energies are from PBE.

Calculated values
* calculated volume: 26.661 Å³ per atom
* total energy: -4.66 eV/atom
* excess energy over the best structure of this formula in the dataset: 31.67 kJ/mol of atoms
* M_tot: 0.5 μB per formula unit

a b c (Å): 3.4776 5.2189 6.0991
angles (deg): 90.00 105.55 90.00
Space group P2/m (No. 10)
One atom of each set of equivalent atoms:
Ca 0.1754 0.0000 0.2782 [2 per cell]
Y 0.5000 0.5000 0.0000 [1 per cell]
Tc 0.0000 0.5000 0.5000 [1 per cell]

=====

(7)
Here is a relaxed structure of CaY2Tc2 from the Alexandria database. Energies are from PBE.

Calculated values
* calculated volume: 24.667 Å³ per atom
* total energy: -6.94 eV/atom
* excess energy over the best structure of this formula in the dataset: 0.00 kJ/mol of atoms
* M_tot: 0.0 μB per formula unit

a b c (Å): 8.2384 8.2384 3.6343
angles (deg): 90.00 90.00 90.00
Space group P4/mbm (No. 127)
One atom of each set of equivalent atoms:
Ca 0.0000 0.0000 0.0000 [2 per cell]
Y 0.1806 0.3194 0.5000 [4 per cell]
Tc 0.0993 0.5993 0.0000 [4 per cell]

=====

(8)
Here is a relaxed structure of Ca2YTc from the Alexandria database. Energies are from PBE.

Calculated values
* calculated volume: 26.138 Å³ per atom
* total energy: -4.58 eV/atom
* excess energy over the best structure of this formula in the dataset: 40.01 kJ/mol of atoms
* M_tot: 0.0 μB per formula unit

a b c (Å): 6.1523 10.4546 3.2509
angles (deg): 90.00 90.00 90.00
Space group Cmmm (No. 65)
One atom of each set of equivalent atoms:
Ca 0.2500 0.2500 0.0000 [4 per cell]
Y 0.0000 0.0000 0.5000 [2 per cell]
Tc 0.0000 0.5000 0.5000 [2 per cell]

=====

(9)
Here is a relaxed structure of Ca2YTc from the Alexandria database. Energies are from PBE.

Calculated values
* calculated volume: 28.412 Å³ per atom
* total energy: -4.67 eV/atom
* excess energy over the best structure of this formula in the dataset: 30.62 kJ/mol of atoms
* M_tot: 1.7 μB per formula unit

a b c (Å): 3.3897 3.3897 9.8911
angles (deg): 90.00 90.00 90.00
Space group P4/mmm (No. 123)
One atom of each set of equivalent atoms:
Ca 0.0000 0.0000 0.1933 [2 per cell]
Y 0.5000 0.5000 0.5000 [1 per cell]
Tc 0.5000 0.5000 0.0000 [1 per cell]

=====

(10)
Here is a relaxed structure of Ca2YTc from the Alexandria database. Energies are from PBE.

Calculated values
* calculated volume: 26.142 Å³ per atom
* total energy: -4.73 eV/atom
* excess energy over the best structure of this formula in the dataset: 25.54 kJ/mol of atoms
* M_tot: 0.2 μB per formula unit

a b c (Å): 4.5560 4.5560 10.0754
angles (deg): 90.00 90.00 90.00
Space group I4/mmm (No. 139)
One atom of each set of equivalent atoms:
Ca 0.0000 0.5000 0.2500 [4 per cell]
Y 0.0000 0.0000 0.0000 [2 per cell]
Tc 0.0000 0.0000 0.5000 [2 per cell]

=====

(11)
Here is a relaxed structure of CaYTc2 from the Alexandria database. Energies are from PBE.

Calculated values
* calculated volume: 19.988 Å³ per atom
* total energy: -6.71 eV/atom
* excess energy over the best structure of this formula in the dataset: 43.93 kJ/mol of atoms
* M_tot: 0.0 μB per formula unit

a b c (Å): 3.4875 4.8836 9.3889
angles (deg): 90.00 90.00 90.00
Space group Cmmm (No. 65)
One atom of each set of equivalent atoms:
Ca 0.0000 0.0000 0.0000 [2 per cell]
Y 0.0000 0.0000 0.5000 [2 per cell]
Tc 0.0000 0.5000 0.2581 [4 per cell]

=====

(12)
Here is a relaxed structure of CaYTc2 from the Alexandria database. Energies are from PBE.

Calculated values
* calculated volume: 25.761 Å³ per atom
* total energy: -6.92 eV/atom
* excess energy over the best structure of this formula in the dataset: 23.50 kJ/mol of atoms
* M_tot: 0.0 μB per formula unit

a b c (Å): 10.5339 3.8812 5.7707
angles (deg): 90.00 119.13 90.00
Space group C2/m (No. 12)
One atom of each set of equivalent atoms:
Ca 0.0000 0.0000 0.0000 [2 per cell]
Y 0.0000 0.5000 0.5000 [2 per cell]
Tc 0.2471 0.5000 0.3779 [4 per cell]

=====

(13)
Here is a relaxed structure of CaYTc2 from the Alexandria database. Energies are from PBE.

Calculated values
* calculated volume: 22.406 Å³ per atom
* total energy: -7.08 eV/atom
* excess energy over the best structure of this formula in the dataset: 8.28 kJ/mol of atoms
* M_tot: 0.0 μB per formula unit

a b c (Å): 3.5550 5.0329 10.0184
angles (deg): 90.00 90.00 90.00
Space group Imm2 (No. 44)
One atom of each set of equivalent atoms:
Ca 0.0000 0.0000 0.0000 [2 per cell]
Y 0.0000 0.5000 0.7810 [2 per cell]
Tc 0.0000 0.0000 0.5667 [2 per cell]
Tc 0.0000 0.5000 0.2267 [2 per cell]

=====

(14)
Here is a relaxed structure of CaYTc2 from the Alexandria database. Energies are from PBE.

Calculated values
* calculated volume: 20.687 Å³ per atom
* total energy: -6.58 eV/atom
* excess energy over the best structure of this formula in the dataset: 56.20 kJ/mol of atoms
* M_tot: 0.8 μB per formula unit

a b c (Å): 3.2264 3.2264 27.5374
angles (deg): 90.00 90.00 120.00
Space group R-3m (No. 166, hexagonal axes)
One atom of each set of equivalent atoms:
Ca 0.0000 0.0000 0.0000 [3 per cell]
Y 0.0000 0.0000 0.5000 [3 per cell]
Tc 0.0000 0.0000 0.2465 [6 per cell]

=====

(15)
Here is a relaxed structure of CaYTc2 from the Alexandria database. Energies are from PBE.

Calculated values
* calculated volume: 22.856 Å³ per atom
* total energy: -7.17 eV/atom
* excess energy over the best structure of this formula in the dataset: 0.00 kJ/mol of atoms
* M_tot: 0.0 μB per formula unit

a b c (Å): 3.2053 3.2053 8.8987
angles (deg): 90.00 90.00 90.00
Space group P4mm (No. 99)
One atom of each set of equivalent atoms:
Ca 0.0000 0.0000 0.0000 [1 per cell]
Y 0.5000 0.5000 0.6186 [1 per cell]
Tc 0.0000 0.0000 0.3871 [1 per cell]
Tc 0.5000 0.5000 0.2472 [1 per cell]